Pr2Sm6Dy3Er | PBE | optimized geometry

Unit cell a=6.2567 b=10.8330 c=11.9677 alpha=90.00 beta=100.03 gamma=90.00
With the nearest neighbours (Å) after each atom.
Space group C2/m (No. 12)
Symmetry-distinct sites (fractional):
Pr 0.0000 0.1667 0.0000 [4 per cell]  3 Er 3.61, 3 Pr 3.61, 6 Sm 3.64
Sm 0.2476 0.5000 0.7466 [4 per cell]  3 Dy 3.57-3.58, 6 Sm 3.60-3.62, 1 Er 3.64, 2 Pr 3.64
Sm 0.2498 0.1659 0.7470 [8 per cell]  3 Dy 3.58-3.59, 6 Sm 3.59-3.62, 1 Er 3.63, 2 Pr 3.64
Dy 0.0000 0.0000 0.5000 [2 per cell]  6 Sm 3.58, 6 Dy 3.61-3.62
Dy 0.0000 0.3337 0.5000 [4 per cell]  6 Sm 3.57-3.59, 6 Dy 3.60-3.62
Er 0.0000 0.5000 0.0000 [2 per cell]  6 Pr 3.61, 6 Sm 3.63-3.64

* formation energy: 0.2 eV per formula unit
* raw total energy: -4.67 eV/atom
* crystal system: monoclinic